No. 1
Y2Hg2Te: single point on PBEsol structure, meta-GGA SCAN.

Structure (POSCAR):
```
Y2Hg2Te
1.0
-1.645 -1.261 5.192
2.342 -4.494 -3.359
5.183 -1.695 1.230
Hg Y Te
2 2 1
Cartesian
1.460 -2.713 2.813
4.421 -4.737 0.250
2.056 -2.986 -0.074
3.825 -4.464 3.137
0.000 0.000 0.000
```

Properties
- Formation energy (no corrections): -0.41 eV per atom
- Space group: I4/mmm
- Density of states at the Fermi level: 0.71 states/eV/atom

***

No. 2
Y4BePt: single point on PBEsol structure, meta-GGA SCAN.

Structure (POSCAR):
```
Y4BePt
1.0
5.870 0.000 0.000
2.935 5.083 0.000
2.935 1.694 4.793
Y Pt Be
4 1 1
Cartesian
7.346 2.536 1.793
5.870 3.389 4.205
5.870 5.094 1.793
4.393 2.536 1.793
0.000 0.000 0.000
8.805 5.083 3.594
```

Properties
- DFT formation energy: 0.6468 eV/atom
- Space group: F-43m
- Density of states at the Fermi level: 0.84 states/eV/atom

***

No. 3
K2TiTl: single point on PBEsol structure, meta-GGA SCAN.

Structure (POSCAR):
```
K2TiTl
1.0
-4.390 -3.831 -0.590
1.150 -5.595 -1.291
-0.815 -4.164 4.037
K Tl Ti
2 1 1
Cartesian
-3.042 -10.192 1.617
-1.014 -3.397 0.539
-2.028 -6.795 1.078
0.000 0.000 0.000
```

Properties
- DFT formation energy: 0.7106 eV/atom
- Space group: Fm-3m
- Density of states at the Fermi level: 2.24 states/eV/atom

***

- What is the formula in the third record?
  K2TiTl